Here is Ac2PuCu after structural relaxation from Alexandria via LeMat-Bulk. Energies are from PBE.

abc: 11.6186 11.6186 11.6186
angles: 18.69 18.69 18.69
Positions (direct):
Ac  0.1029  0.1029  0.1029
Ac  0.8971  0.8971  0.8971
Pu  0.0000  0.0000  0.0000
Cu  0.5000  0.5000  0.5000

Summary:
VASP energy ... -6.236 eV per atom
Energy above the most stable polymorph in this dataset ... 1.24 eV per formula unit



Here is BeMoAs2 after structural relaxation from Alexandria via LeMat-Bulk. Energies are from PBE.

abc: 4.4048 4.4048 4.4048
angles: 60.00 60.00 60.00
Positions (direct):
Be  0.0000  0.0000  0.0000
Mo  0.7500  0.7500  0.7500
As  0.2500  0.2500  0.2500
As  0.5000  0.5000  0.5000

Summary:
VASP energy ... -5.307 eV per atom



Here is BiWCl3 after structural relaxation from Alexandria via LeMat-Bulk. Energies are from PBE.

abc: 5.5104 5.5104 5.5104
angles: 90.00 90.00 90.00
Positions (direct):
Bi  0.0000  0.0000  0.0000
W  0.5000  0.5000  0.5000
Cl  0.0000  0.0000  0.5000
Cl  0.0000  0.5000  0.0000
Cl  0.5000  0.0000  0.0000

Summary:
VASP energy ... -3.632 eV per atom
ΔE_f (raw) ... 842 meV/atom
Energy above the most stable polymorph in this dataset ... 2.40 eV per formula unit



Here is Be2CrInC after structural relaxation from Alexandria via LeMat-Bulk. Energies are from PBE.

abc: 4.2620 4.2620 3.7850
angles: 90.00 90.00 90.00
Positions (direct):
Be  0.0000  0.5000  0.0000
Be  0.5000  0.0000  0.0000
Cr  0.0000  0.0000  0.0000
In  0.5000  0.5000  0.5000
C  0.0000  0.0000  0.5000

Summary:
VASP energy ... -4.696 eV per atom



Here is HoErZnGa after structural relaxation from Alexandria via LeMat-Bulk. Energies are from PBE.

abc: 5.0132 5.0132 5.0132
angles: 60.00 60.00 60.00
Positions (direct):
Ho  0.0000  0.0000  0.0000
Er  0.5000  0.5000  0.5000
Zn  0.7500  0.7500  0.7500
Ga  0.2500  0.2500  0.2500

Summary:
VASP energy ... -3.840 eV per atom



Here is Rb2Zn5Au3 after structural relaxation from Alexandria via LeMat-Bulk. Energies are from PBE.

abc: 9.1730 9.1730 6.6793
angles: 111.35 111.35 70.74
Positions (direct):
Rb  0.1244  0.6258  0.8751
Rb  0.3742  0.8756  0.6249
Rb  0.6258  0.1244  0.3751
Rb  0.8756  0.3742  0.1249
Zn  0.0005  0.2466  0.6237
Zn  0.9995  0.7534  0.3763
Zn  0.2466  0.0005  0.1237
Zn  0.2468  0.2523  0.9984
Zn  0.2523  0.2468  0.4984
Zn  0.4972  0.5028  0.7500
Zn  0.5028  0.4972  0.2500
Zn  0.7477  0.7532  0.5016
Zn  0.7534  0.9995  0.8763
Zn  0.7532  0.7477  0.0016
Au  0.0021  0.9979  0.7500
Au  0.2514  0.4965  0.3738
Au  0.4965  0.2514  0.8738
Au  0.5035  0.7486  0.1262
Au  0.7486  0.5035  0.6262
Au  0.9979  0.0021  0.2500

Summary:
VASP energy ... -1.949 eV per atom



Here is FePdAu2 after structural relaxation from Alexandria via LeMat-Bulk. Energies are from PBE.

abc: 9.2951 9.2951 9.2951
angles: 17.63 17.63 17.63
Positions (direct):
Fe  0.0000  0.0000  0.0000
Pd  0.8330  0.8330  0.8330
Au  0.4131  0.4131  0.4131
Au  0.5867  0.5867  0.5867

Summary:
VASP energy ... -4.963 eV per atom



Here is LiSmAlRh after structural relaxation from Alexandria via LeMat-Bulk. Energies are from PBE.

abc: 4.6865 4.6865 4.6865
angles: 60.00 60.00 60.00
Positions (direct):
Li  0.0000  0.0000  0.0000
Sm  0.2500  0.2500  0.2500
Al  0.7500  0.7500  0.7500
Rh  0.5000  0.5000  0.5000

Summary:
VASP energy ... -4.936 eV per atom



Here is Ho4AlHg2 after structural relaxation from Alexandria via LeMat-Bulk. Energies are from PBE.

abc: 9.2897 9.2897 9.2897
angles: 32.00 32.00 32.00
Positions (direct):
Ho  0.1297  0.1297  0.1297
Ho  0.2851  0.2851  0.2851
Ho  0.7149  0.7149  0.7149
Ho  0.8703  0.8703  0.8703
Al  0.5000  0.5000  0.5000
Hg  0.3992  0.3992  0.3992
Hg  0.6008  0.6008  0.6008

Summary:
VASP energy ... -3.412 eV per atom
Energy above the most stable polymorph in this dataset ... 0.69 eV per formula unit



Here is MgFeRu after structural relaxation from Alexandria via LeMat-Bulk. Energies are from PBE.

abc: 5.3053 5.3053 5.3053
angles: 147.15 147.15 47.15
Positions (direct):
Mg  0.0000  0.0000  0.0000
Fe  0.6835  0.6835  0.0000
Ru  0.3116  0.3116  0.0000

Summary:
VASP energy ... -6.349 eV per atom
Energy above the most stable polymorph in this dataset ... 0.12 eV per formula unit



Here is NdGd2Lu after structural relaxation from Alexandria via LeMat-Bulk. Energies are from PBE.

abc: 5.6845 5.6845 5.6845
angles: 60.00 60.00 60.00
Positions (direct):
Nd  0.0000  0.0000  0.0000
Gd  0.2500  0.2500  0.2500
Gd  0.7500  0.7500  0.7500
Lu  0.5000  0.5000  0.5000

Summary:
VASP energy ... -9.265 eV per atom
Energy above the most stable polymorph in this dataset ... 0.30 eV per formula unit



Here is PuCd10Pd3 after structural relaxation from Alexandria via LeMat-Bulk. Energies are from PBE.

abc: 9.7791 9.7791 9.7791
angles: 60.00 60.00 60.00
Positions (direct):
Pu  0.2500  0.2500  0.2500
Pu  0.7500  0.7500  0.7500
Cd  0.0000  0.0000  0.3382
Cd  0.0000  0.0000  0.6618
Cd  0.0000  0.3382  0.0000
Cd  0.0000  0.3382  0.6618
Cd  0.0000  0.6618  0.0000
Cd  0.0000  0.6618  0.3382
Cd  0.1502  0.6166  0.6166
Cd  0.3382  0.0000  0.0000
Cd  0.3382  0.0000  0.6618
Cd  0.3382  0.6618  0.0000
Cd  0.3834  0.3834  0.3834
Cd  0.3834  0.3834  0.8498
Cd  0.3834  0.8498  0.3834
Cd  0.6166  0.1502  0.6166
Cd  0.6166  0.6166  0.1502
Cd  0.6166  0.6166  0.6166
Cd  0.6618  0.0000  0.0000
Cd  0.6618  0.0000  0.3382
Cd  0.6618  0.3382  0.0000
Cd  0.8498  0.3834  0.3834
Pd  0.2707  0.2707  0.7293
Pd  0.2707  0.7293  0.2707
Pd  0.2707  0.7293  0.7293
Pd  0.7293  0.2707  0.2707
Pd  0.7293  0.2707  0.7293
Pd  0.7293  0.7293  0.2707

Summary:
VASP energy ... -2.871 eV per atom



Here is SiTe2MoPb after structural relaxation from Alexandria via LeMat-Bulk. Energies are from PBE.

abc: 5.2399 5.2399 5.4897
angles: 90.00 90.00 90.00
Positions (direct):
Si  0.0000  0.0000  0.0000
Te  0.0000  0.5000  0.5000
Te  0.5000  0.0000  0.5000
Mo  0.5000  0.5000  0.5000
Pb  0.5000  0.5000  0.0000

Summary:
VASP energy ... -4.416 eV per atom
ΔE_f (raw) ... 833 meV/atom



Here is CdGa2Si after structural relaxation from Alexandria via LeMat-Bulk. Energies are from PBE.

abc: 3.4317 3.4317 6.5429
angles: 90.00 90.00 90.00
Positions (direct):
Cd  0.0000  0.0000  0.0000
Ga  0.5000  0.5000  0.2827
Ga  0.5000  0.5000  0.7173
Si  0.0000  0.0000  0.5000

Summary:
VASP energy ... -2.878 eV per atom
ΔE_f (raw) ... 220 meV/atom
Energy above the most stable polymorph in this dataset ... 0.13 eV per formula unit



Here is CrFeReRu after structural relaxation from Alexandria via LeMat-Bulk. Energies are from PBE.

abc: 4.2047 4.2047 4.2047
angles: 60.00 60.00 60.00
Positions (direct):
Cr  0.0000  0.0000  0.0000
Fe  0.5000  0.5000  0.5000
Re  0.2500  0.2500  0.2500
Ru  0.7500  0.7500  0.7500

Summary:
VASP energy ... -9.811 eV per atom



Here is V2CrMo after structural relaxation from Alexandria via LeMat-Bulk. Energies are from PBE.

abc: 5.4824 5.4824 5.4824
angles: 150.24 134.61 55.22
Positions (direct):
V  0.2393  0.2393  0.0000
V  0.7607  0.7607  0.0000
Cr  0.0000  0.0000  0.0000
Mo  0.5000  0.5000  0.0000

Summary:
VASP energy ... -9.059 eV per atom
Energy above the most stable polymorph in this dataset ... 2.80 eV per formula unit



Here is TmPuTh2Sb4 after structural relaxation from Alexandria via LeMat-Bulk. Energies are from PBE.

abc: 7.6719 4.4669 7.7220
angles: 90.00 109.66 90.00
Positions (direct):
Tm  0.0000  0.0000  0.0000
Pu  0.0000  0.5000  0.5000
Th  0.5000  0.0000  0.5000
Th  0.5000  0.5000  0.0000
Sb  0.2402  0.5000  0.2437
Sb  0.2420  0.0000  0.7501
Sb  0.7580  0.0000  0.2499
Sb  0.7598  0.5000  0.7563

Summary:
VASP energy ... -7.164 eV per atom
ΔE_f (raw) ... -897 meV/atom



Here is Er8ZnGa2 after structural relaxation from Alexandria via LeMat-Bulk. Energies are from PBE.

abc: 9.3046 9.3046 6.6494
angles: 102.09 102.09 31.00
Positions (direct):
Er  0.0246  0.0246  0.2699
Er  0.2035  0.2035  0.8084
Er  0.3410  0.3410  0.5325
Er  0.4078  0.4078  0.0401
Er  0.5922  0.5922  0.9599
Er  0.6590  0.6590  0.4675
Er  0.7965  0.7965  0.1916
Er  0.9754  0.9754  0.7301
Zn  0.5000  0.5000  0.5000
Ga  0.1902  0.1902  0.2442
Ga  0.8098  0.8098  0.7558

Summary:
VASP energy ... -4.236 eV per atom



Here is Mg3BiRu after structural relaxation from Alexandria via LeMat-Bulk. Energies are from PBE.

abc: 5.3374 5.3374 5.3374
angles: 90.00 90.00 90.00
Positions (direct):
Mg  0.0000  0.0000  0.5000
Mg  0.0000  0.5000  0.0000
Mg  0.5000  0.0000  0.0000
Bi  0.0000  0.0000  0.0000
Ru  0.5000  0.5000  0.5000

Summary:
VASP energy ... -2.405 eV per atom
Energy above the most stable polymorph in this dataset ... 4.32 eV per formula unit



Here is BaBe3Mo after structural relaxation from Alexandria via LeMat-Bulk. Energies are from PBE.

abc: 4.6487 4.6487 4.6487
angles: 90.00 90.00 90.00
Positions (direct):
Ba  0.0000  0.0000  0.0000
Be  0.0000  0.0000  0.5000
Be  0.0000  0.5000  0.0000
Be  0.5000  0.0000  0.0000
Mo  0.5000  0.5000  0.5000

Summary:
VASP energy ... -1.985 eV per atom
Energy above the most stable polymorph in this dataset ... 10.19 eV per formula unit